The following is a GGA-PBE calculation of a relaxed Hf2Zr3Sc8 crystal, from Alexandria.

- raw total energy (eV/atom) = -7.115
- DFT formation energy (eV per atom) = 0.29
- symmetry = Cmmm
- DOS(E_F) (states/eV/cell) = 19.84

```
Hf2Zr3Sc8
1.0
5.075 0.304 -0.853
-0.819 6.167 -2.676
1.562 0.612 9.502
Zr Sc Hf
3 8 2
direct
0.000 0.278 0.000
0.500 0.000 0.000
0.000 0.722 0.000
0.500 0.397 0.213
0.000 0.862 0.725
0.500 0.815 0.213
0.000 0.138 0.275
0.500 0.185 0.787
0.000 0.327 0.654
0.000 0.673 0.346
0.500 0.603 0.787
0.500 0.242 0.484
0.500 0.758 0.516
```